[1]
The following is a DFT calculation (PBE) of a relaxed CaMgCd2In crystal.

Cell lengths 5.295, 5.408, 5.295 Å; angles 90.00, 90.00, 90.00 degrees
Positions (direct):
Ca: 0.500 0.500 0.500
Cd: 0.000 0.000 0.500
Cd: 0.500 0.000 0.000
Mg: 0.000 0.000 0.000
In: 0.000 0.500 0.000

Results
Spin magnetization, μB per formula unit: 0.00
E, eV per atom: -1.515
ΔE_f, eV/atom: 0.1184

---

[2]
The following is a DFT calculation (PBE) of a relaxed Tb2PmDy7 crystal.

Cell lengths 5.554, 9.229, 9.229 Å; angles 123.77, 90.00, 90.00 degrees
Positions (direct):
Tb: 0.500 0.703 0.297
Tb: 0.500 0.297 0.703
Pm: 0.000 0.000 0.000
Dy: 0.000 0.787 0.213
Dy: 0.000 0.213 0.787
Dy: 0.500 0.063 0.290
Dy: 0.500 0.937 0.710
Dy: 0.500 0.290 0.063
Dy: 0.500 0.710 0.937
Dy: 0.500 0.500 0.500

Results
Spin magnetization, μB per formula unit: 0.00
E, eV per atom: -3.926
E above lowest polymorph, meV/atom: 682
ΔE_f, eV/atom: 0.6962

---

[3]
The following is a DFT calculation (PBE) of a relaxed LiHgPd3 crystal.

Cell lengths 7.551, 6.814, 6.814 Å; angles 84.95, 71.69, 71.69 degrees
Positions (direct):
Li: 0.852 0.493 0.743
Li: 0.648 0.257 0.507
Li: 0.148 0.507 0.257
Li: 0.352 0.743 0.493
Hg: 0.250 0.862 0.138
Hg: 0.750 0.138 0.862
Hg: 0.250 0.390 0.610
Hg: 0.750 0.610 0.390
Pd: 0.660 0.769 0.023
Pd: 0.840 0.977 0.231
Pd: 0.340 0.231 0.977
Pd: 0.160 0.023 0.769
Pd: 0.940 0.328 0.071
Pd: 0.560 0.929 0.672
Pd: 0.060 0.672 0.929
Pd: 0.440 0.071 0.328
Pd: 0.474 0.562 0.806
Pd: 0.026 0.194 0.438
Pd: 0.526 0.438 0.194
Pd: 0.974 0.806 0.562

Results
Spin magnetization, μB per formula unit: 0.00
E, eV per atom: -3.812
E above lowest polymorph, meV/atom: 0
ΔE_f, eV/atom: -0.2536

---

[4]
The following is a DFT calculation (PBE) of a relaxed K2PaO5 crystal.

Cell lengths 4.379, 6.191, 6.191 Å; angles 90.00, 90.00, 90.00 degrees
Site moments in Bohr magnetons follow the coordinates.
Positions (direct):
K: 0.500 0.500 0.000  0.00
K: 0.500 0.000 0.500  0.00
Pa: 0.000 0.000 0.000  0.32
O: 0.000 0.774 0.774  0.18
O: 0.000 0.226 0.774  0.18
O: 0.000 0.774 0.226  0.18
O: 0.500 0.000 0.000  0.09
O: 0.000 0.226 0.226  0.18

Results
Spin magnetization, μB per formula unit: 1.21
E, eV per atom: -6.473
Raw formation energy, eV per atom: -1.91

---

[5]
The following is a DFT calculation (PBE) of a relaxed La2SnAs3Ir4 crystal.

Cell lengths 4.266, 4.266, 10.824 Å; angles 90.00, 90.00, 90.00 degrees
Positions (direct):
La: 0.500 0.000 0.242
La: 0.000 0.500 0.758
Sn: 0.500 0.500 0.500
As: 0.000 0.000 0.500
As: 0.500 0.000 0.869
As: 0.000 0.500 0.131
Ir: 0.500 0.500 0.000
Ir: 0.000 0.000 0.000
Ir: 0.500 0.000 0.644
Ir: 0.000 0.500 0.356

Results
Spin magnetization, μB per formula unit: 0.00
E, eV per atom: -7.045
ΔE_f, eV/atom: -0.7204

---

[6]
The following is a DFT calculation (PBE) of a relaxed La6TbHo8 crystal.

Cell lengths 9.110, 9.110, 8.817 Å; angles 58.89, 58.89, 60.00 degrees
Positions (direct):
La: 0.465 0.907 0.860
La: 0.093 0.232 0.140
La: 0.232 0.535 0.140
La: 0.768 0.465 0.860
La: 0.907 0.768 0.860
La: 0.535 0.093 0.140
Tb: 0.000 0.000 0.000
Ho: 0.238 0.293 0.582
Ho: 0.707 0.114 0.418
Ho: 0.114 0.762 0.418
Ho: 0.577 0.577 0.270
Ho: 0.423 0.423 0.730
Ho: 0.886 0.238 0.582
Ho: 0.293 0.886 0.582
Ho: 0.762 0.707 0.418

Results
Spin magnetization, μB per formula unit: 0.00
E, eV per atom: -4.606
ΔE_f, eV/atom: 0.1153

---

[7]
The following is a DFT calculation (PBE) of a relaxed Pa2PdF crystal.

Cell lengths 3.113, 3.113, 9.722 Å; angles 80.79, 80.79, 60.00 degrees
Site moments in Bohr magnetons follow the coordinates.
Positions (direct):
Pa: 0.094 0.094 0.719  0.92
Pa: 0.906 0.906 0.281  0.92
Pd: 0.000 0.000 0.000  0.04
F: 0.500 0.500 0.500  0.01

Results
Spin magnetization, μB per formula unit: 2.22
E, eV per atom: -7.215
Raw formation energy, eV per atom: -0.70

---

[8]
The following is a DFT calculation (PBE) of a relaxed Ce3TiGe5 crystal.

Cell lengths 5.805, 8.730, 8.730 Å; angles 120.00, 90.00, 90.00 degrees
Positions (direct):
Ce: 0.750 0.384 0.000
Ce: 0.750 0.616 0.616
Ce: 0.750 0.000 0.384
Ce: 0.250 0.616 0.000
Ce: 0.250 0.384 0.384
Ce: 0.250 0.000 0.616
Ti: 0.000 0.000 0.000
Ti: 0.500 0.000 0.000
Ge: 0.000 0.333 0.667
Ge: 0.500 0.667 0.333
Ge: 0.000 0.667 0.333
Ge: 0.500 0.333 0.667
Ge: 0.750 0.745 0.000
Ge: 0.750 0.255 0.255
Ge: 0.750 0.000 0.745
Ge: 0.250 0.255 0.000
Ge: 0.250 0.745 0.745
Ge: 0.250 0.000 0.255

Results
Spin magnetization, μB per formula unit: 0.00
E, eV per atom: -6.145
ΔE_f, eV/atom: -0.7248

---

[9]
The following is a DFT calculation (PBE) of a relaxed TbYPd crystal.

Cell lengths 6.691, 7.093, 7.440 Å; angles 75.19, 90.00, 90.00 degrees
Positions (direct):
Tb: 0.750 0.931 0.517
Tb: 0.750 0.931 0.017
Tb: 0.250 0.069 0.483
Tb: 0.250 0.069 0.983
Y: 0.244 0.543 0.111
Y: 0.256 0.543 0.611
Y: 0.756 0.457 0.889
Y: 0.744 0.457 0.389
Pd: 0.546 0.208 0.700
Pd: 0.046 0.792 0.800
Pd: 0.454 0.792 0.300
Pd: 0.954 0.208 0.200

Results
Spin magnetization, μB per formula unit: 0.00
E, eV per atom: -5.932
E above lowest polymorph, meV/atom: 65
ΔE_f, eV/atom: -0.5031

---

[10]
The following is a DFT calculation (PBE) of a relaxed CuHW crystal.

Cell lengths 3.342, 3.284, 11.216 Å; angles 125.90, 127.46, 89.93 degrees
Positions (direct):
H: 0.788 0.005 0.378
H: 0.212 0.995 0.622
Cu: 0.476 0.488 0.369
Cu: 0.524 0.512 0.631
W: 0.556 0.550 0.900
W: 0.444 0.450 0.100

Results
Spin magnetization, μB per formula unit: 0.00
E, eV per atom: -6.496
E above lowest polymorph, meV/atom: 58

---

[11]
The following is a DFT calculation (PBE) of a relaxed Nd4Sm2Ho5 crystal.

Cell lengths 5.706, 6.646, 10.062 Å; angles 90.99, 106.47, 90.00 degrees
Positions (direct):
Nd: 0.305 0.923 0.610
Nd: 0.978 0.717 0.957
Nd: 0.695 0.077 0.390
Nd: 0.022 0.283 0.043
Sm: 0.402 0.447 0.803
Sm: 0.598 0.553 0.197
Ho: 0.791 0.600 0.581
Ho: 0.209 0.400 0.419
Ho: 0.869 0.109 0.738
Ho: 0.500 0.000 0.000
Ho: 0.131 0.891 0.262

Results
Spin magnetization, μB per formula unit: 0.00
E, eV per atom: -4.568
E above lowest polymorph, meV/atom: 0
ΔE_f, eV/atom: 0.1043

---

[12]
The following is a DFT calculation (PBE) of a relaxed Rb2NbAuCl6 crystal.

Cell lengths 8.109, 8.109, 7.318 Å; angles 56.35, 56.35, 90.00 degrees
Site moments in Bohr magnetons follow the coordinates.
Positions (direct):
Nb: 0.500 0.500 0.000  1.60
Au: 0.000 0.000 0.000  0.00
Rb: 0.750 0.250 0.500  0.00
Rb: 0.250 0.750 0.500  0.00
Cl: 0.242 0.242 0.516  0.00
Cl: 0.758 0.758 0.484  0.00
Cl: 0.281 0.281 0.000  0.01
Cl: 0.719 0.719 0.000  0.01
Cl: 0.719 0.281 0.000  0.00
Cl: 0.281 0.719 0.000  0.00

Results
Spin magnetization, μB per formula unit: 2.00
E, eV per atom: -3.792
Raw formation energy, eV per atom: -1.16

---

- The lowest E belongs to which entry?
  Pa2PdF

---

- Which formula does entry 11 have?
  Nd4Sm2Ho5

---

- What is the formula in the third record?
  LiHgPd3